A relaxed Fe2TeO2 crystal. Source: Alexandria via LeMat-Bulk, functional PBE with a Hubbard U.

```
Fe2TeO2
1.0
-1.805 -1.854 7.677
4.805 -6.507 -0.442
2.640 1.877 1.074
Te O Fe
2 4 4
Cartesian
0.000 0.000 0.000
1.500 -4.181 3.617
1.274 -0.591 3.324
4.111 -3.398 1.253
1.529 -3.086 7.056
4.367 -5.893 4.985
0.304 -1.776 2.357
2.950 -4.779 1.099
2.697 -6.585 4.877
0.051 -3.582 6.136
```

## Properties
Energy above the most stable polymorph in this dataset, eV/atom: 0.280
Raw total energy, eV/atom: -5.195
Density of states at the Fermi level, states/eV per cell: 5.8
Space group: P4/mbm, No. 127